VASP calculation (PBE) on a relaxed CrAsBr2N crystal.

Cell and atoms, written as extended XYZ:
```
5
Lattice="4.7083 0.0000 0.0000 0.0000 4.7083 0.0000 0.0000 0.0000 4.7951" Properties=species:S:1:pos:R:3 pbc="T T T"
Cr 0.0000 0.0000 0.0000
As 0.0000 0.0000 2.3975
Br 0.0000 2.3542 0.0000
Br 2.3542 0.0000 0.0000
N 2.3542 2.3542 2.3975
```

* raw formation energy: 1.500 eV/atom

VASP calculation (PBE) on a relaxed BiBI3 crystal.

Cell and atoms, written as extended XYZ:
```
5
Lattice="-3.9496 1.2990 3.1217 -2.8238 -3.9076 -1.9467 1.8598 -3.1742 3.6739" Properties=species:S:1:pos:R:3 pbc="T T T"
I -1.4119 -1.9538 -0.9733
I 0.9299 -1.5871 1.8370
I -1.9748 0.6495 1.5609
B 0.0000 0.0000 0.0000
Bi -2.4568 -2.8914 2.4245
```

* raw formation energy: 0.675 eV/atom

VASP calculation (PBE) on a relaxed InH2I crystal.

Cell and atoms, written as extended XYZ:
```
8
Lattice="5.8280 0.0000 0.0000 -2.9140 5.0455 0.0000 0.0001 0.0001 9.0531" Properties=species:S:1:pos:R:3 pbc="T T T"
In 2.9140 1.6819 2.2633
In 0.0001 3.3638 6.7898
H 2.9141 1.6815 6.4154
H 0.0000 3.3641 1.8889
H 0.0000 3.3641 2.6377
H 2.9141 1.6815 7.1643
I 0.0000 0.0005 2.2633
I 2.9141 5.0452 6.7899
```

* energy: -2.848 eV per atom

VASP calculation (PBE) on a relaxed Be11Rh3 crystal.

Cell and atoms, written as extended XYZ:
```
14
Lattice="-2.7395 0.8200 2.0279 -2.4670 -5.5537 1.9433 1.9355 -0.9069 6.0115" Properties=species:S:1:pos:R:3 pbc="T T T"
Be -1.6536 -4.3179 8.6025
Be -1.7378 -2.3282 7.6842
Be -2.8249 -5.5542 7.5202
Be -0.9222 -2.0675 5.6504
Be 0.4247 -1.2458 4.1077
Be -0.2658 -3.2303 3.9774
Be -3.6957 -4.3948 5.8750
Be -2.3488 -3.5731 4.3322
Be -0.4461 -0.0864 2.4624
Be -1.5332 -3.3124 2.2984
Be -1.6174 -1.3227 1.3801
Rh 0.0000 0.0000 0.0000
Rh -1.1794 -4.3242 6.2156
Rh -2.0916 -1.3164 3.7671
```

* energy: -4.803 eV per atom

no.,Fermi-level density of states (states/eV/f.u.)
1,11.4
2,4.1
3,0.0
4,3.1